A relaxed structure of FePSO2. Source: Alexandria, functional PBE+U. Values from VASP.

Computed properties:
uncorrected energy: -4.785 eV/atom
DOS(E_F): 1.39 states/eV/f.u.

Cell and atoms, written as Quantum ESPRESSO input:
```
&SYSTEM
  ibrav = 0, nat = 5, ntyp = 4
/
ATOMIC_SPECIES
P 30.97 P.upf
Fe 55.84 Fe.upf
O 16.00 O.upf
S 32.06 S.upf
CELL_PARAMETERS angstrom
-1.282 -0.513 -3.397
0.019 -3.627 0.541
-4.377 0.218 1.618
ATOMIC_POSITIONS angstrom
P -2.188 0.109 0.809
Fe -2.820 -1.961 -0.619
O -0.641 -0.257 -1.699
O 0.009 -1.813 0.270
S 0.000 0.000 0.000
```